DFT (PBE-GGA) results for crystalline CdFe2Os at its relaxed geometry.

Summary:
Magnetic moment ... 1.5601 μB per atom
Energy of formation from the pure elements ... 584 meV/atom
Excess energy over the best structure of this formula in the dataset ... 313 meV/atom
Density of states at the Fermi level ... 6.90 states/eV/f.u.
Calculated density ... 11.685 g/cm³

a = 6.1756 Å, b = 6.1756 Å, c = 6.1756 Å
α = 90.00°, β = 90.00°, γ = 90.00°
Closest atoms and distances in Å follow each position.
Space group F-43m (No. 216)
One atom of each set of equivalent atoms:
Cd  0.0000  0.0000  0.0000 x4  4 Fe 2.67, 4 Os 2.67
Fe  0.0000  0.0000  0.5000 x4  4 Fe 2.67, 4 Os 2.67
Fe  0.2500  0.2500  0.7500 x4  4 Cd 2.67, 4 Fe 2.67
Os  0.2500  0.2500  0.2500 x4  4 Cd 2.67, 4 Fe 2.67